# 1
First-principles (PBE) data for a relaxed structure of Y2HoCd3Cu2Ag, as listed in OQMD via LeMat-Bulk.

Cell and atoms, written as POSCAR:
```
Y2HoCd3Cu2Ag
1.0
3.867 0.000 0.000
0.000 6.637 3.838
0.000 -6.637 3.838
Y Cu Cd Ag Ho
2 2 3 1 1
direct
0.000 0.000 0.410
0.000 0.410 0.000
0.500 0.335 0.666
0.500 0.666 0.335
0.500 0.269 0.269
0.500 0.000 0.731
0.500 0.731 0.000
0.000 0.999 0.999
0.000 0.590 0.590
```

Calculated values
**Formation energy from the elements**: -0.3119 eV/atom

# 2
First-principles (PBE) data for a relaxed structure of Li2Cd2In2CuAg, as listed in OQMD via LeMat-Bulk.

Cell and atoms, written as POSCAR:
```
Li2Cd2In2CuAg
1.0
4.635 0.000 0.000
0.000 4.635 0.000
0.000 0.000 6.616
Li In Cu Cd Ag
2 2 1 2 1
direct
0.000 0.000 0.000
0.500 0.500 0.500
0.500 0.000 0.762
0.000 0.500 0.238
0.500 0.500 0.000
0.000 0.500 0.762
0.500 0.000 0.238
0.000 0.000 0.500
```

Calculated values
**Calculated total energy**: -2.37 eV per atom